Record 1
## Mn2VFe2 (GGA-PBE)

Data for a relaxed Mn2VFe2 crystal.

a = 6.7573 Å, b = 6.7573 Å, c = 2.4821 Å
α = 90.00°, β = 90.00°, γ = 90.00°
With the nearest neighbours (Å) after each atom.
Space group P4/mbm (No. 127)
Inequivalent atoms, fractional coordinates:
Mn: 0.1225 0.3775 0.0000 x4  6 Fe 2.31-2.38, 3 Mn 2.34-2.48
V: 0.0000 0.0000 0.0000 x2  2 V 2.48, 4 Mn 2.68
Fe: 0.1731 0.6731 0.5000 x4  6 Mn 2.31-2.38, 2 Fe 2.48

Summary:
Formation enthalpy at 0 K   0.11 eV/atom
DOS(E_F)   10.593 states/eV/cell
Volume   113.3 Å³ per cell

=====

Record 2
## MnVFe4 (GGA-PBE)

Data for a relaxed MnVFe4 crystal.

a = 3.9513 Å, b = 6.8576 Å, c = 4.9860 Å
α = 90.00°, β = 90.00°, γ = 90.00°
With the nearest neighbours (Å) after each atom.
Space group Cmmm (No. 65)
Inequivalent atoms, fractional coordinates:
Mn: 0.0000 0.0000 0.0000 x2  2 V 2.49, 12 Fe 2.61
V: 0.0000 0.0000 0.5000 x2  2 Mn 2.49, 12 Fe 2.60
Fe: 0.0000 0.3332 0.2521 x8  5 Fe 2.28-2.51

Summary:
Formation enthalpy at 0 K   0.12 eV/atom
DOS(E_F)   14.441 states/eV/cell
Volume   135.1 Å³ per cell